# 1
A relaxed SrSn3Pd crystal, computed with PBE-GGA.

Cell and atoms, written as POSCAR:
```
SrSn3Pd
1.0
3.415 -3.414 0.000
3.415 3.414 0.000
-3.403 0.000 5.768
Sr Sn Pd
1 3 1
direct
0.000 0.000 0.000
0.253 0.752 0.506
0.588 0.588 0.177
0.752 0.253 0.506
0.359 0.359 0.720
```

The formation energy comes out at -578 meV/atom. The value obtained for the density of states at the Fermi level is 1.3 states/eV per cell. The value obtained for the magnetization is 0.00 μB per atom.

=====

# 2
A relaxed Sr3Sn8Pd3 crystal, computed with PBE-GGA.

Cell and atoms, written as POSCAR:
```
Sr3Sn8Pd3
1.0
-2.352 5.880 6.807
2.352 -5.880 6.807
2.352 5.880 -6.807
Sr Sn Pd
3 8 3
direct
0.000 0.000 0.000
0.332 0.332 0.000
0.668 0.668 0.000
0.035 0.664 0.371
0.184 0.885 0.299
0.293 0.664 0.629
0.413 0.115 0.299
0.587 0.885 0.701
0.707 0.336 0.371
0.816 0.115 0.701
0.965 0.336 0.629
0.266 0.500 0.766
0.500 0.000 0.500
0.734 0.500 0.234
```

The formation energy comes out at -497 meV/atom. The value obtained for the density of states at the Fermi level is 5.5 states/eV per cell. The excess energy over the best structure of this formula in the dataset is 25 meV per atom. The value obtained for the magnetization is 0.00 μB per atom.

=====

# 3
A relaxed Sr3Sn4Pd2 crystal, computed with PBE-GGA.

Cell and atoms, written as POSCAR:
```
Sr3Sn4Pd2
1.0
5.833 -2.429 0.000
5.833 2.429 0.000
-3.552 0.000 8.732
Sr Sn Pd
3 4 2
direct
0.000 0.000 0.000
0.321 0.321 0.369
0.679 0.679 0.631
0.021 0.021 0.350
0.262 0.262 0.905
0.738 0.738 0.095
0.979 0.979 0.650
0.406 0.406 0.732
0.594 0.594 0.268
```

The formation energy comes out at -682 meV/atom. The value obtained for the density of states at the Fermi level is 2.2 states/eV per cell. The excess energy over the best structure of this formula in the dataset is 0 meV per atom. The value obtained for the magnetization is 0.00 μB per atom.

=====

# 4
A relaxed Sr2Sn4Pd3 crystal, computed with PBE-GGA.

Cell and atoms, written as POSCAR:
```
Sr2Sn4Pd3
1.0
0.000 5.323 6.896
2.997 0.000 6.896
2.997 5.323 0.000
Sr Sn Pd
2 4 3
direct
0.130 0.130 0.870
0.870 0.870 0.130
0.175 0.516 0.484
0.484 0.825 0.175
0.516 0.175 0.825
0.825 0.484 0.516
0.000 0.000 0.500
0.500 0.500 0.000
0.500 0.500 0.500
```

The formation energy comes out at -603 meV/atom. The value obtained for the density of states at the Fermi level is 5.1 states/eV per cell. The value obtained for the magnetization is 0.00 μB per atom.

=====

# 5
A relaxed SrSnPd3 crystal, computed with PBE-GGA.

Cell and atoms, written as POSCAR:
```
SrSnPd3
1.0
5.039 0.000 0.000
0.000 5.039 0.000
0.000 0.000 5.039
Sr Sn Pd
1 1 3
direct
0.000 0.000 0.000
0.500 0.500 0.500
0.000 0.500 0.500
0.500 0.000 0.500
0.500 0.500 0.000
```

The formation energy comes out at -260 meV/atom. The value obtained for the density of states at the Fermi level is 2.3 states/eV per cell. The excess energy over the best structure of this formula in the dataset is 319 meV per atom. The value obtained for the magnetization is 0.00 μB per atom.

=====

# 6
A relaxed Sr3Sn2Pd7 crystal, computed with PBE-GGA.

Cell and atoms, written as POSCAR:
```
Sr3Sn2Pd7
1.0
2.925 1.689 8.695
-2.925 1.689 8.695
0.000 -3.377 8.695
Sr Sn Pd
3 2 7
direct
0.000 0.000 0.000
0.141 0.141 0.141
0.859 0.859 0.859
0.333 0.333 0.333
0.667 0.667 0.667
0.082 0.581 0.581
0.419 0.419 0.918
0.419 0.918 0.419
0.500 0.500 0.500
0.581 0.082 0.581
0.581 0.581 0.082
0.918 0.419 0.419
```

The formation energy comes out at -642 meV/atom. The value obtained for the density of states at the Fermi level is 4.2 states/eV per cell. The value obtained for the magnetization is 0.00 μB per atom.

=====

# 7
A relaxed Sr3Sn3Pd crystal, computed with PBE-GGA.

Cell and atoms, written as POSCAR:
```
Sr3Sn3Pd
1.0
5.923 -2.438 0.000
5.923 2.438 0.000
-5.449 0.000 15.006
Sr Sn Pd
6 6 2
direct
0.030 0.030 0.385
0.099 0.099 0.919
0.245 0.245 0.236
0.755 0.755 0.764
0.901 0.901 0.081
0.970 0.970 0.615
0.352 0.352 0.462
0.387 0.387 0.922
0.459 0.459 0.760
0.541 0.541 0.240
0.613 0.613 0.078
0.648 0.648 0.538
0.254 0.254 0.604
0.746 0.746 0.396
```

The formation energy comes out at -706 meV/atom. The value obtained for the density of states at the Fermi level is 6.3 states/eV per cell. The value obtained for the magnetization is 0.00 μB per atom.

=====

# 8
A relaxed Sr2Sn5Pd3 crystal, computed with PBE-GGA.

Cell and atoms, written as POSCAR:
```
Sr2Sn5Pd3
1.0
2.329 -13.645 0.000
2.329 13.645 0.000
0.000 0.000 7.521
Sr Sn Pd
4 10 6
direct
0.023 0.977 0.500
0.325 0.675 0.472
0.675 0.325 0.972
0.977 0.023 0.000
0.097 0.903 0.126
0.205 0.795 0.670
0.209 0.791 0.259
0.380 0.620 0.002
0.449 0.551 0.333
0.551 0.449 0.833
0.620 0.380 0.502
0.791 0.209 0.759
0.795 0.205 0.170
0.903 0.097 0.626
0.108 0.892 0.759
0.278 0.722 0.963
0.448 0.552 0.713
0.552 0.448 0.213
0.722 0.278 0.463
0.892 0.108 0.259
```

The formation energy comes out at -644 meV/atom. The value obtained for the density of states at the Fermi level is 7.9 states/eV per cell. The excess energy over the best structure of this formula in the dataset is 16 meV per atom. The value obtained for the magnetization is 0.00 μB per atom.

=====

# 9
A relaxed SrSnPd3 crystal, computed with PBE-GGA.

Cell and atoms, written as POSCAR:
```
SrSnPd3
1.0
-2.843 4.548 4.485
2.843 -4.548 4.485
2.843 4.548 -4.485
Sr Sn Pd
2 2 6
direct
0.283 0.033 0.250
0.717 0.967 0.750
0.000 0.500 0.500
0.500 0.500 0.000
0.092 0.342 0.750
0.244 0.000 0.744
0.244 0.500 0.244
0.756 0.000 0.256
0.756 0.500 0.756
0.908 0.658 0.250
```

The formation energy comes out at -579 meV/atom. The value obtained for the density of states at the Fermi level is 4.7 states/eV per cell. The excess energy over the best structure of this formula in the dataset is 0 meV per atom. The value obtained for the magnetization is 0.00 μB per atom.

=====

# 10
A relaxed Sr2Sn5Pd crystal, computed with PBE-GGA.

Cell and atoms, written as POSCAR:
```
Sr2Sn5Pd
1.0
-3.274 3.274 5.509
3.274 -3.274 5.509
3.274 3.274 -5.509
Sr Sn Pd
2 5 1
direct
0.000 0.500 0.500
0.500 0.000 0.500
0.435 0.435 0.000
0.483 0.483 0.484
0.483 0.999 0.000
0.999 0.483 0.000
0.999 0.999 0.516
0.860 0.860 0.000
```

The formation energy comes out at -447 meV/atom. The value obtained for the density of states at the Fermi level is 2.4 states/eV per cell. The value obtained for the magnetization is 0.00 μB per atom.

=====

# 11
A relaxed Sr2SnPd5 crystal, computed with PBE-GGA.

Cell and atoms, written as POSCAR:
```
Sr2SnPd5
1.0
-3.203 3.203 4.505
3.203 -3.203 4.505
3.203 3.203 -4.505
Sr Sn Pd
2 1 5
direct
0.000 0.500 0.500
0.500 0.000 0.500
0.259 0.259 0.000
0.534 0.534 0.572
0.534 0.962 0.000
0.962 0.534 0.000
0.962 0.962 0.428
0.966 0.966 0.000
```

The formation energy comes out at -537 meV/atom. The value obtained for the density of states at the Fermi level is 3.6 states/eV per cell. The value obtained for the magnetization is 0.00 μB per atom.

=====

# 12
A relaxed Sr2SnPd crystal, computed with PBE-GGA.

Cell and atoms, written as POSCAR:
```
Sr2SnPd
1.0
3.679 0.000 0.000
0.000 3.679 0.000
0.000 0.000 8.658
Sr Sn Pd
2 1 1
direct
0.000 0.000 0.221
0.000 0.000 0.779
0.500 0.500 0.500
0.500 0.500 0.000
```

The formation energy comes out at -561 meV/atom. The value obtained for the density of states at the Fermi level is 1.1 states/eV per cell. The value obtained for the magnetization is 0.00 μB per atom.

=====

# 13
A relaxed Sr2SnPd6 crystal, computed with PBE-GGA.

Cell and atoms, written as POSCAR:
```
Sr2SnPd6
1.0
5.122 -2.953 0.000
5.122 2.953 0.000
-1.634 0.000 6.165
Sr Sn Pd
2 1 6
direct
0.140 0.140 0.329
0.860 0.860 0.671
0.500 0.500 0.500
0.097 0.623 0.179
0.377 0.903 0.821
0.383 0.383 0.824
0.617 0.617 0.176
0.623 0.097 0.179
0.903 0.377 0.821
```

The formation energy comes out at -574 meV/atom. The value obtained for the density of states at the Fermi level is 2.5 states/eV per cell. The value obtained for the magnetization is 0.00 μB per atom.

=====

# 14
A relaxed Sr2SnPd2 crystal, computed with PBE-GGA.

Cell and atoms, written as POSCAR:
```
Sr2SnPd2
1.0
-2.993 2.993 4.002
2.993 -2.993 4.002
2.993 2.993 -4.002
Sr Sn Pd
2 1 2
direct
0.250 0.750 0.500
0.750 0.250 0.500
0.000 0.000 0.000
0.333 0.333 0.000
0.667 0.667 0.000
```

The formation energy comes out at -497 meV/atom. The value obtained for the density of states at the Fermi level is 5.0 states/eV per cell. The value obtained for the magnetization is 0.00 μB per atom.

=====

# 15
A relaxed SrSnPd4 crystal, computed with PBE-GGA.

Cell and atoms, written as POSCAR:
```
SrSnPd4
1.0
4.909 0.000 0.000
0.000 4.909 0.000
0.000 0.000 7.475
Sr Sn Pd
1 1 4
direct
0.000 0.000 0.000
0.500 0.500 0.500
0.000 0.500 0.500
0.500 0.000 0.500
0.500 0.500 0.168
0.500 0.500 0.832
```

The formation energy comes out at 251 meV/atom. The value obtained for the density of states at the Fermi level is 3.0 states/eV per cell. The value obtained for the magnetization is 0.00 μB per atom.

=====

# 16
A relaxed Sr8SnPd2 crystal, computed with PBE-GGA.

Cell and atoms, written as POSCAR:
```
Sr8SnPd2
1.0
4.927 -7.252 0.000
4.927 7.252 0.000
-1.469 0.000 5.932
Sr Sn Pd
8 1 2
direct
0.000 0.000 0.000
0.047 0.311 0.615
0.133 0.616 0.197
0.311 0.047 0.615
0.438 0.702 0.780
0.616 0.133 0.197
0.702 0.438 0.780
0.749 0.749 0.395
0.374 0.374 0.195
0.061 0.688 0.698
0.688 0.061 0.698
```

The formation energy comes out at -347 meV/atom. The value obtained for the density of states at the Fermi level is 7.0 states/eV per cell. The value obtained for the magnetization is 0.00 μB per atom.

=====

# 17
A relaxed SrSn8Pd2 crystal, computed with PBE-GGA.

Cell and atoms, written as POSCAR:
```
SrSn8Pd2
1.0
6.482 0.000 0.000
0.000 6.482 0.000
0.000 0.000 8.308
Sr Sn Pd
1 8 2
direct
0.000 0.000 0.000
0.256 0.256 0.306
0.256 0.256 0.694
0.256 0.744 0.306
0.256 0.744 0.694
0.744 0.256 0.306
0.744 0.256 0.694
0.744 0.744 0.306
0.744 0.744 0.694
0.000 0.500 0.500
0.500 0.000 0.500
```

The formation energy comes out at -209 meV/atom. The value obtained for the density of states at the Fermi level is 5.6 states/eV per cell. The excess energy over the best structure of this formula in the dataset is 54 meV per atom. The value obtained for the magnetization is 0.00 μB per atom.

=====

# 18
A relaxed SrSnPd3 crystal, computed with PBE-GGA.

Cell and atoms, written as POSCAR:
```
SrSnPd3
1.0
5.882 0.000 0.000
0.000 7.493 0.000
0.000 0.000 5.397
Sr Sn Pd
2 2 6
direct
0.000 0.000 0.000
0.500 0.500 0.000
0.000 0.500 0.500
0.500 0.000 0.500
0.000 0.500 0.000
0.113 0.168 0.500
0.387 0.668 0.500
0.500 0.000 0.000
0.613 0.332 0.500
0.887 0.832 0.500
```

The formation energy comes out at -355 meV/atom. The value obtained for the density of states at the Fermi level is 4.6 states/eV per cell. The excess energy over the best structure of this formula in the dataset is 224 meV per atom. The value obtained for the magnetization is 0.00 μB per atom.

=====

# 19
A relaxed Sr3Sn2Pd6 crystal, computed with PBE-GGA.

Cell and atoms, written as POSCAR:
```
Sr3Sn2Pd6
1.0
-5.024 5.024 5.024
5.024 -5.024 5.024
5.024 5.024 -5.024
Sr Sn Pd
6 4 12
direct
0.000 0.304 0.304
0.000 0.696 0.696
0.304 0.000 0.304
0.304 0.304 0.000
0.696 0.000 0.696
0.696 0.696 0.000
0.000 0.000 0.500
0.000 0.500 0.000
0.500 0.000 0.000
0.500 0.500 0.500
0.000 0.326 0.674
0.000 0.674 0.326
0.326 0.000 0.674
0.326 0.326 0.651
0.326 0.651 0.326
0.326 0.674 0.000
0.349 0.674 0.674
0.651 0.326 0.326
0.674 0.000 0.326
0.674 0.326 0.000
0.674 0.349 0.674
0.674 0.674 0.349
```

The formation energy comes out at -661 meV/atom. The value obtained for the density of states at the Fermi level is 13.0 states/eV per cell. The value obtained for the magnetization is 0.00 μB per atom.

=====

# 20
A relaxed Sr3SnPd3 crystal, computed with PBE-GGA.

Cell and atoms, written as POSCAR:
```
Sr3SnPd3
1.0
2.271 -5.675 0.000
2.271 5.675 0.000
0.000 0.000 14.596
Sr Sn Pd
6 2 6
direct
0.005 0.995 0.750
0.286 0.714 0.604
0.286 0.714 0.896
0.714 0.286 0.104
0.714 0.286 0.396
0.995 0.005 0.250
0.000 0.000 0.000
0.000 0.000 0.500
0.293 0.707 0.250
0.426 0.574 0.090
0.426 0.574 0.410
0.574 0.426 0.590
0.574 0.426 0.910
0.707 0.293 0.750
```

The formation energy comes out at -670 meV/atom. The value obtained for the density of states at the Fermi level is 8.7 states/eV per cell. The excess energy over the best structure of this formula in the dataset is 0 meV per atom. The value obtained for the magnetization is 0.00 μB per atom.